1.
Density functional theory data (PBE) for NaCe3Sn5 after structural relaxation.

Computed properties:
Space group: No. 193
Density of states at the Fermi level: 28.1 states/eV per cell
Formation energy: -4.26 eV per formula unit
Crystal system: hexagonal

Cell lengths 6.424, 9.399, 9.399 Å; angles 120.00, 90.00, 90.00 degrees
Fractional coordinates of all 18 atoms:
1 Na 0.000 0.000 0.000
2 Na 0.500 0.000 0.000
3 Ce 0.750 0.374 0.000
4 Ce 0.750 0.626 0.626
5 Ce 0.750 0.000 0.374
6 Ce 0.250 0.626 0.000
7 Ce 0.250 0.374 0.374
8 Ce 0.250 0.000 0.626
9 Sn 0.000 0.333 0.667
10 Sn 0.500 0.667 0.333
11 Sn 0.000 0.667 0.333
12 Sn 0.500 0.333 0.667
13 Sn 0.750 0.706 0.000
14 Sn 0.750 0.294 0.294
15 Sn 0.750 0.000 0.706
16 Sn 0.250 0.294 0.000
17 Sn 0.250 0.706 0.706
18 Sn 0.250 0.000 0.294

=====

2.
Density functional theory data (PBE) for Na2CeSnTe4 after structural relaxation.

Computed properties:
Space group: No. 10
Density of states at the Fermi level: 4.5 states/eV per cell
Energy relative to the elements, uncorrected: -696 kJ/mol of formula units
Crystal system: monoclinic

Cell lengths 4.513, 7.935, 7.843 Å; angles 109.01, 90.00, 90.00 degrees
Fractional coordinates of all 8 atoms:
1 Na 0.500 0.000 0.500
2 Na 0.000 0.500 0.500
3 Ce 0.500 0.500 0.000
4 Sn 0.000 0.000 0.000
5 Te 0.500 0.253 0.233
6 Te 0.500 0.747 0.767
7 Te 0.000 0.259 0.767
8 Te 0.000 0.741 0.233

=====

3.
Density functional theory data (PBE) for NaCeZnSn after structural relaxation.

Computed properties:
Space group: No. 216
Density of states at the Fermi level: 7.2 states/eV per cell
Formation energy: -1.03 eV per formula unit
Crystal system: cubic

Cell lengths 5.242, 5.242, 5.242 Å; angles 60.00, 60.00, 60.00 degrees
Fractional coordinates of all 4 atoms:
1 Na 0.500 0.500 0.500
2 Zn 0.750 0.750 0.750
3 Sn 0.250 0.250 0.250
4 Ce 0.000 0.000 0.000

=====

4.
Density functional theory data (PBE) for NaSr2Ce after structural relaxation.

Computed properties:
Space group: No. 166
Density of states at the Fermi level: 8.0 states/eV per cell
Formation energy: 1.44 eV per formula unit
Crystal system: trigonal

Cell lengths 3.796, 3.796, 14.090 Å; angles 82.26, 82.26, 60.00 degrees
Fractional coordinates of all 4 atoms:
1 Sr 0.086 0.086 0.741
2 Sr 0.914 0.914 0.259
3 Ce 0.000 0.000 0.000
4 Na 0.500 0.500 0.500

=====

5.
Density functional theory data (PBE) for NaSr2CeTe4 after structural relaxation.

Computed properties:
Space group: No. 10
Density of states at the Fermi level: 8.1 states/eV per cell
Energy relative to the elements, uncorrected: -1136 kJ/mol of formula units
Crystal system: monoclinic

Cell lengths 4.678, 8.062, 8.034 Å; angles 108.86, 90.00, 90.00 degrees
Fractional coordinates of all 8 atoms:
1 Na 0.500 0.500 0.000
2 Sr 0.500 0.000 0.500
3 Sr 0.000 0.500 0.500
4 Ce 0.000 0.000 0.000
5 Te 0.500 0.243 0.238
6 Te 0.500 0.757 0.762
7 Te 0.000 0.245 0.759
8 Te 0.000 0.755 0.241

=====

6.
Density functional theory data (PBE) for NaTbCe2 after structural relaxation.

Computed properties:
Space group: No. 166
Density of states at the Fermi level: 10.3 states/eV per cell
Formation energy: 0.96 eV per formula unit
Crystal system: trigonal

Cell lengths 3.364, 3.364, 12.996 Å; angles 82.56, 82.56, 60.00 degrees
Fractional coordinates of all 4 atoms:
1 Na 0.000 0.000 0.000
2 Tb 0.500 0.500 0.500
3 Ce 0.091 0.091 0.727
4 Ce 0.909 0.909 0.273

=====

7.
Density functional theory data (PBE) for Na3Tb2CeTe6 after structural relaxation.

Computed properties:
Space group: No. 12
Density of states at the Fermi level: 8.4 states/eV per cell
Energy relative to the elements, uncorrected: -1500 kJ/mol of formula units
Crystal system: monoclinic

Cell lengths 7.775, 7.775, 7.980 Å; angles 99.34, 99.34, 120.02 degrees
Fractional coordinates of all 12 atoms:
1 Na 0.165 0.835 0.500
2 Na 0.835 0.165 0.500
3 Na 0.500 0.500 0.500
4 Tb 0.333 0.667 0.000
5 Tb 0.667 0.333 0.000
6 Ce 0.000 0.000 0.000
7 Te 0.921 0.581 0.765
8 Te 0.738 0.738 0.235
9 Te 0.079 0.419 0.235
10 Te 0.581 0.921 0.765
11 Te 0.262 0.262 0.765
12 Te 0.419 0.079 0.235

=====

8.
Density functional theory data (PBE) for Na4Tb3CeTe8 after structural relaxation.

Computed properties:
Space group: No. 166
Density of states at the Fermi level: 8.6 states/eV per cell
Energy relative to the elements, uncorrected: -2009 kJ/mol of formula units
Crystal system: trigonal

Cell lengths 8.950, 9.154, 8.949 Å; angles 119.29, 120.00, 90.00 degrees
Fractional coordinates of all 16 atoms:
1 Na 0.500 0.000 0.000
2 Na 0.500 0.000 0.500
3 Na 0.000 0.000 0.000
4 Na 0.000 0.000 0.500
5 Tb 0.500 0.500 0.000
6 Tb 0.500 0.500 0.500
7 Tb 0.000 0.500 0.500
8 Ce 0.000 0.500 0.000
9 Te 0.249 0.736 0.987
10 Te 0.249 0.735 0.497
11 Te 0.256 0.268 0.512
12 Te 0.739 0.736 0.987
13 Te 0.261 0.264 0.013
14 Te 0.744 0.732 0.488
15 Te 0.751 0.265 0.503
16 Te 0.751 0.264 0.013

=====

9.
Density functional theory data (PBE) for NaTb3Ce4Te8 after structural relaxation.

Computed properties:
Space group: No. 166
Density of states at the Fermi level: 30.5 states/eV per cell
Energy relative to the elements, uncorrected: -2056 kJ/mol of formula units
Crystal system: trigonal

Cell lengths 8.862, 8.939, 8.862 Å; angles 119.71, 120.00, 90.00 degrees
Fractional coordinates of all 16 atoms:
1 Na 0.000 0.500 0.000
2 Tb 0.500 0.500 0.000
3 Tb 0.500 0.500 0.500
4 Tb 0.000 0.500 0.500
5 Ce 0.500 0.000 0.000
6 Ce 0.500 0.000 0.500
7 Ce 0.000 0.000 0.000
8 Ce 0.000 0.000 0.500
9 Te 0.247 0.740 0.993
10 Te 0.247 0.740 0.493
11 Te 0.253 0.260 0.506
12 Te 0.746 0.740 0.993
13 Te 0.254 0.260 0.007
14 Te 0.747 0.740 0.494
15 Te 0.753 0.260 0.507
16 Te 0.753 0.260 0.007

=====

10.
Density functional theory data (PBE) for Na4TbCe3Te8 after structural relaxation.

Computed properties:
Space group: No. 166
Density of states at the Fermi level: 20.3 states/eV per cell
Energy relative to the elements, uncorrected: -1963 kJ/mol of formula units
Crystal system: trigonal

Cell lengths 9.092, 9.169, 9.093 Å; angles 119.74, 120.00, 90.00 degrees
Fractional coordinates of all 16 atoms:
1 Na 0.500 0.000 0.000
2 Na 0.500 0.000 0.500
3 Na 0.000 0.000 0.000
4 Na 0.000 0.000 0.500
5 Tb 0.000 0.500 0.000
6 Ce 0.500 0.500 0.000
7 Ce 0.500 0.500 0.500
8 Ce 0.000 0.500 0.500
9 Te 0.242 0.737 0.995
10 Te 0.242 0.737 0.485
11 Te 0.253 0.259 0.506
12 Te 0.752 0.737 0.995
13 Te 0.248 0.263 0.005
14 Te 0.747 0.741 0.494
15 Te 0.758 0.263 0.515
16 Te 0.758 0.263 0.005

=====

11.
Density functional theory data (PBE) for Na2TbCeTe4 after structural relaxation.

Computed properties:
Space group: No. 10
Density of states at the Fermi level: 6.5 states/eV per cell
Energy relative to the elements, uncorrected: -993 kJ/mol of formula units
Crystal system: monoclinic

Cell lengths 4.511, 7.813, 7.973 Å; angles 109.06, 90.00, 90.00 degrees
Fractional coordinates of all 8 atoms:
1 Na 0.500 0.000 0.500
2 Na 0.000 0.500 0.500
3 Tb 0.500 0.500 0.000
4 Ce 0.000 0.000 0.000
5 Te 0.500 0.253 0.238
6 Te 0.500 0.747 0.762
7 Te 0.000 0.261 0.765
8 Te 0.000 0.739 0.235

=====

12.
Density functional theory data (PBE) for NaCe2Tc after structural relaxation.

Computed properties:
Space group: No. 123
Density of states at the Fermi level: 8.8 states/eV per cell
Energy above the lowest structure with this stoichiometry: 0.000 eV/f.u.
Formation energy: 0.22 eV per formula unit
Crystal system: tetragonal

Cell lengths 3.358, 3.358, 9.712 Å; angles 90.00, 90.00, 90.00 degrees
Fractional coordinates of all 4 atoms:
1 Na 0.500 0.500 0.500
2 Tc 0.500 0.500 0.000
3 Ce 0.000 0.000 0.821
4 Ce 0.000 0.000 0.179

=====

13.
Density functional theory data (PBE) for NaCe2Tc after structural relaxation.

Computed properties:
Space group: No. 166
Density of states at the Fermi level: 8.8 states/eV per cell
Energy above the lowest structure with this stoichiometry: 0.638 eV/f.u.
Formation energy: 0.86 eV per formula unit
Crystal system: trigonal

Cell lengths 3.934, 3.934, 10.584 Å; angles 79.29, 79.29, 60.00 degrees
Fractional coordinates of all 4 atoms:
1 Na 0.000 0.000 0.000
2 Tc 0.500 0.500 0.500
3 Ce 0.118 0.118 0.646
4 Ce 0.882 0.882 0.354

=====

14.
Density functional theory data (PBE) for NaCeTc after structural relaxation.

Computed properties:
Space group: No. 166
Density of states at the Fermi level: 8.9 states/eV per cell
Formation energy: 1.00 eV per formula unit
Crystal system: trigonal

Cell lengths 4.442, 4.442, 12.345 Å; angles 79.64, 79.64, 60.00 degrees
Fractional coordinates of all 6 atoms:
1 Tc 0.325 0.325 0.024
2 Tc 0.675 0.675 0.976
3 Na 0.199 0.199 0.402
4 Na 0.801 0.801 0.598
5 Ce 0.387 0.387 0.838
6 Ce 0.613 0.613 0.162

=====

15.
Density functional theory data (PBE) for Na4CeTe4 after structural relaxation.

Computed properties:
Space group: No. 121
Energy relative to the elements, uncorrected: -764 kJ/mol of formula units
Crystal system: tetragonal

Cell lengths 7.604, 7.604, 8.577 Å; angles 116.31, 116.31, 90.00 degrees
Fractional coordinates of all 9 atoms:
1 Na 0.500 0.000 0.000
2 Na 0.000 0.500 0.000
3 Na 0.289 0.289 0.578
4 Na 0.711 0.711 0.422
5 Ce 0.000 0.000 0.000
6 Te 0.650 0.650 0.751
7 Te 0.350 0.899 0.249
8 Te 0.101 0.101 0.751
9 Te 0.899 0.350 0.249

=====

16.
Density functional theory data (PBE) for Na3Ce5Te8 after structural relaxation.

Computed properties:
Space group: No. 166
Density of states at the Fermi level: 40.9 states/eV per cell
Energy relative to the elements, uncorrected: -1966 kJ/mol of formula units
Crystal system: trigonal

Cell lengths 9.052, 9.052, 9.130 Å; angles 60.28, 60.28, 60.00 degrees
Fractional coordinates of all 16 atoms:
1 Na 0.500 0.000 0.500
2 Na 0.000 0.000 0.500
3 Na 0.000 0.500 0.500
4 Ce 0.500 0.000 0.000
5 Ce 0.500 0.500 0.000
6 Ce 0.000 0.000 0.000
7 Ce 0.000 0.500 0.000
8 Ce 0.500 0.500 0.500
9 Te 0.250 0.250 0.751
10 Te 0.250 0.749 0.751
11 Te 0.749 0.250 0.751
12 Te 0.748 0.748 0.757
13 Te 0.750 0.750 0.249
14 Te 0.750 0.251 0.249
15 Te 0.251 0.750 0.249
16 Te 0.252 0.252 0.243

=====

17.
Density functional theory data (PBE) for Na3CeTe3 after structural relaxation.

Computed properties:
Space group: No. 148
Density of states at the Fermi level: 11.3 states/eV per cell
Energy relative to the elements, uncorrected: -716 kJ/mol of formula units
Crystal system: trigonal

Cell lengths 9.102, 9.102, 9.102 Å; angles 57.06, 57.06, 57.06 degrees
Fractional coordinates of all 14 atoms:
1 Na 0.827 0.396 0.126
2 Na 0.126 0.827 0.396
3 Na 0.396 0.126 0.827
4 Na 0.604 0.874 0.173
5 Na 0.874 0.173 0.604
6 Na 0.173 0.604 0.874
7 Ce 0.334 0.334 0.334
8 Ce 0.666 0.666 0.666
9 Te 0.545 0.295 0.930
10 Te 0.295 0.930 0.545
11 Te 0.930 0.545 0.295
12 Te 0.070 0.455 0.705
13 Te 0.705 0.070 0.455
14 Te 0.455 0.705 0.070

=====

18.
Density functional theory data (PBE) for NaCe5Te8 after structural relaxation.

Computed properties:
Space group: No. 82
Density of states at the Fermi level: 34.7 states/eV per cell
Energy relative to the elements, uncorrected: -1815 kJ/mol of formula units
Crystal system: tetragonal

Cell lengths 8.265, 8.265, 8.265 Å; angles 109.73, 108.95, 109.73 degrees
Fractional coordinates of all 14 atoms:
1 Na 0.250 0.500 0.750
2 Ce 0.006 0.374 0.127
3 Ce 0.873 0.879 0.247
4 Ce 0.753 0.626 0.632
5 Ce 0.500 0.000 0.500
6 Ce 0.368 0.121 0.994
7 Te 0.129 0.750 0.031
8 Te 0.969 0.098 0.720
9 Te 0.763 0.245 0.364
10 Te 0.636 0.400 0.881
11 Te 0.481 0.600 0.237
12 Te 0.621 0.902 0.871
13 Te 0.280 0.250 0.379
14 Te 0.119 0.755 0.519

=====

19.
Density functional theory data (PBE) for NaCe2Te3 after structural relaxation.

Computed properties:
Space group: No. 71
Density of states at the Fermi level: 15.7 states/eV per cell
Energy relative to the elements, uncorrected: -742 kJ/mol of formula units
Crystal system: orthorhombic

Cell lengths 4.492, 6.397, 7.925 Å; angles 113.80, 106.46, 90.00 degrees
Fractional coordinates of all 6 atoms:
1 Na 0.500 0.500 0.500
2 Ce 0.834 0.834 0.169
3 Ce 0.166 0.166 0.831
4 Te 0.832 0.332 0.163
5 Te 0.168 0.668 0.837
6 Te 0.500 0.000 0.500

=====

20.
Density functional theory data (PBE) for NaCeTe4 after structural relaxation.

Computed properties:
Space group: No. 125
Density of states at the Fermi level: 13.8 states/eV per cell
Energy relative to the elements, uncorrected: -489 kJ/mol of formula units
Crystal system: tetragonal

Cell lengths 6.877, 6.877, 8.221 Å; angles 90.00, 90.00, 90.00 degrees
Fractional coordinates of all 12 atoms:
1 Na 0.500 0.500 0.500
2 Na 0.000 0.000 0.500
3 Ce 0.500 0.500 0.000
4 Ce 0.000 0.000 0.000
5 Te 0.647 0.853 0.235
6 Te 0.147 0.647 0.235
7 Te 0.853 0.353 0.235
8 Te 0.647 0.147 0.765
9 Te 0.353 0.853 0.765
10 Te 0.353 0.147 0.235
11 Te 0.853 0.647 0.765
12 Te 0.147 0.353 0.765

=====

| no. | raw total energy (eV per formula unit) | magnetic moment (μB/atom) |
| --- | --- | --- |
| 1 | -43.4 | 0.108 |
| 2 | -32.4 | 0.026 |
| 3 | -13.6 | 0.234 |
| 4 | -9.2 | 0.484 |
| 5 | -35.0 | 0.125 |
| 6 | -16.9 | 0.491 |
| 7 | -53.6 | 0.085 |
| 8 | -71.1 | 0.063 |
| 9 | -85.4 | 0.338 |
| 10 | -73.2 | 0.188 |
| 11 | -36.1 | 0.126 |
| 12 | -23.3 | 0.321 |
| 13 | -22.7 | 0.211 |
| 14 | -16.6 | 0.095 |
| 15 | -31.7 | 0.000 |
| 16 | -79.1 | 0.227 |
| 17 | -26.7 | 0.143 |
| 18 | -74.9 | 0.358 |
| 19 | -30.3 | 0.442 |
| 20 | -24.9 | 0.172 |